Here is a relaxed Li2CdGeCl6 crystal from the Alexandria database. Energies are from PBE.

Geometry as POSCAR:
```
Li2CdGeCl6
1.0
3.2981 1.9041 6.0321
-3.2981 1.9041 6.0321
0.0000 -3.8083 6.0321
Li Cd Ge Cl
2 1 1 6
direct
0.0000 0.0000 0.0000
0.4957 0.4957 0.4957
0.1940 0.1940 0.1940
0.6913 0.6913 0.6913
0.1111 0.7774 0.3976
0.2759 0.6071 0.9018
0.3976 0.1111 0.7774
0.6071 0.9018 0.2759
0.7774 0.3976 0.1111
0.9018 0.2759 0.6071
```

Values from the calculation:
Mass density ... 3.0 Mg/m³
Fermi-level density of states ... 0.000 states/eV/atom
Energy relative to the elements, uncorrected ... -1.258 eV/atom

Here is a relaxed MgCdGeCl6 crystal from the Alexandria database. Energies are from PBE.

Geometry as POSCAR:
```
MgCdGeCl6
1.0
6.2257 0.0000 0.0000
0.0000 6.2257 0.0000
0.0000 0.0000 11.7646
Mg Cd Ge Cl
2 2 2 12
direct
0.0000 0.0000 0.0000
0.5000 0.5000 0.5000
0.0000 0.0000 0.6656
0.5000 0.5000 0.1656
0.0000 0.0000 0.3321
0.5000 0.5000 0.8321
0.1908 0.1908 0.8396
0.1920 0.1920 0.1583
0.2060 0.2060 0.5016
0.2940 0.7060 0.0016
0.3080 0.6920 0.6583
0.3092 0.6908 0.3396
0.6908 0.3092 0.3396
0.6920 0.3080 0.6583
0.7060 0.2940 0.0016
0.7940 0.7940 0.5016
0.8080 0.8080 0.1583
0.8092 0.8092 0.8396
```

Values from the calculation:
Mass density ... 3.1 Mg/m³
Fermi-level density of states ... 0.000 states/eV/atom
Energy relative to the elements, uncorrected ... -1.200 eV/atom

What did the second record say?
Here is a relaxed MgCdGeCl6 crystal from the Alexandria database. Energies are from PBE.

Geometry as POSCAR:
```
MgCdGeCl6
1.0
6.2257 0.0000 0.0000
0.0000 6.2257 0.0000
0.0000 0.0000 11.7646
Mg Cd Ge Cl
2 2 2 12
direct
0.0000 0.0000 0.0000
0.5000 0.5000 0.5000
0.0000 0.0000 0.6656
0.5000 0.5000 0.1656
0.0000 0.0000 0.3321
0.5000 0.5000 0.8321
0.1908 0.1908 0.8396
0.1920 0.1920 0.1583
0.2060 0.2060 0.5016
0.2940 0.7060 0.0016
0.3080 0.6920 0.6583
0.3092 0.6908 0.3396
0.6908 0.3092 0.3396
0.6920 0.3080 0.6583
0.7060 0.2940 0.0016
0.7940 0.7940 0.5016
0.8080 0.8080 0.1583
0.8092 0.8092 0.8396
```

Values from the calculation:
Mass density ... 3.1 Mg/m³
Fermi-level density of states ... 0.000 states/eV/atom
Energy relative to the elements, uncorrected ... -1.200 eV/atom

Please write out number 1 again, unchanged.
Here is a relaxed Li2CdGeCl6 crystal from the Alexandria database. Energies are from PBE.

Geometry as POSCAR:
```
Li2CdGeCl6
1.0
3.2981 1.9041 6.0321
-3.2981 1.9041 6.0321
0.0000 -3.8083 6.0321
Li Cd Ge Cl
2 1 1 6
direct
0.0000 0.0000 0.0000
0.4957 0.4957 0.4957
0.1940 0.1940 0.1940
0.6913 0.6913 0.6913
0.1111 0.7774 0.3976
0.2759 0.6071 0.9018
0.3976 0.1111 0.7774
0.6071 0.9018 0.2759
0.7774 0.3976 0.1111
0.9018 0.2759 0.6071
```

Values from the calculation:
Mass density ... 3.0 Mg/m³
Fermi-level density of states ... 0.000 states/eV/atom
Energy relative to the elements, uncorrected ... -1.258 eV/atom

What did the second record say?
Here is a relaxed MgCdGeCl6 crystal from the Alexandria database. Energies are from PBE.

Geometry as POSCAR:
```
MgCdGeCl6
1.0
6.2257 0.0000 0.0000
0.0000 6.2257 0.0000
0.0000 0.0000 11.7646
Mg Cd Ge Cl
2 2 2 12
direct
0.0000 0.0000 0.0000
0.5000 0.5000 0.5000
0.0000 0.0000 0.6656
0.5000 0.5000 0.1656
0.0000 0.0000 0.3321
0.5000 0.5000 0.8321
0.1908 0.1908 0.8396
0.1920 0.1920 0.1583
0.2060 0.2060 0.5016
0.2940 0.7060 0.0016
0.3080 0.6920 0.6583
0.3092 0.6908 0.3396
0.6908 0.3092 0.3396
0.6920 0.3080 0.6583
0.7060 0.2940 0.0016
0.7940 0.7940 0.5016
0.8080 0.8080 0.1583
0.8092 0.8092 0.8396
```

Values from the calculation:
Mass density ... 3.1 Mg/m³
Fermi-level density of states ... 0.000 states/eV/atom
Energy relative to the elements, uncorrected ... -1.200 eV/atom

Question: The lowest mass density belongs to which entry?
Answer: Li2CdGeCl6